# 1
Here is a geometry-optimized LiTa2Be structure from the Alexandria database. Energies are from PBE.

a b c (Å): 2.8708 3.9336 5.3859
angles (deg): 90.00 105.40 90.00
Fractional positions:
Li  0.0000  0.0000  0.0000
Ta  0.2697  0.0000  0.5432
Ta  0.6111  0.5000  0.2286
Be  0.8699  0.5000  0.7488

Computed properties:
Formation energy (eV per atom): 0.31
Final energy (eV/f.u.): -28.1

# 2
Here is a geometry-optimized LiTa2Be structure from the Alexandria database. Energies are from PBE.

a b c (Å): 4.9663 4.9663 4.9663
angles (deg): 136.00 136.00 63.99
Fractional positions:
Li  0.0000  0.0000  0.0000
Ta  0.2500  0.7500  0.5000
Ta  0.5000  0.5000  0.0000
Be  0.7500  0.2500  0.5000

Computed properties:
Formation energy (eV per atom): 0.36
Final energy (eV/f.u.): -27.9

- Which of these has the lowest final energy?
  number 1

- The lowest final energy belongs to which entry?
  number 1

- What is the formula in the second record?
  LiTa2Be